NaSeS5 | GGA-PBE | relaxed

Output
The space group is P1 (1). The value obtained for the total magnetic moment is 0.00 μB per cell. The energy relative to the elements, uncorrected is -4 kJ/mol of atoms.

Unit cell a=5.1444 b=7.5144 c=6.2365 alpha=107.60 beta=124.05 gamma=86.33
Element x y z (fractional)
S  0.1663  0.6728  0.4894
S  0.3959  0.8903  0.5065
Se  0.6577  0.3044  0.4305
S  0.6230  0.1337  0.0012
S  0.4692  0.5208  0.7209
S  0.2190  0.2024  0.9973
Na  0.9996  0.8064  0.9156